This record from Alexandria describes a relaxed CdCoN2F crystal. The functional is PBE+U.

Lattice parameters (Å, degrees): 4.2267 4.2267 4.3888 90.00 90.00 90.00
Positions (direct):
Cd (0.0000, 0.0000, 0.0000)
Co (0.5000, 0.5000, 0.5000)
N (0.0000, 0.5000, 0.0000)
N (0.5000, 0.0000, 0.0000)
F (0.0000, 0.0000, 0.5000)

Energy above the most stable polymorph in this dataset (meV per atom): 963
Space-group type: P4/mmm, No. 123